Material: CuHgTe2
Method: DFT, PBE
State: optimized geometry

Computed properties:
For the volume, the calculation gives 25.62 A^3/atom. Its space group is No. 12. Its formation energy from raw total energies is 0.142 eV/f.u.

a = 7.843 Å, b = 3.170 Å, c = 8.263 Å
α = 90.00°, β = 93.68°, γ = 90.00°
Positions (direct):
Cu (0.000, 0.000, 0.000)
Cu (0.500, 0.500, 0.000)
Hg (0.000, 0.000, 0.500)
Hg (0.500, 0.500, 0.500)
Te (0.236, 0.000, 0.796)
Te (0.264, 0.500, 0.204)
Te (0.736, 0.500, 0.796)
Te (0.764, 0.000, 0.204)